This record from Alexandria via LeMat-Bulk describes a relaxed structure of TcHgIr2. The functional is PBE-GGA.

Properties
Symmetry: No. 71
E_form in kJ per mole of atoms: 47
N(E_F) in states/eV/cell: 4.145
Final energy in eV/atom: -6.61

a = 5.614 Å, b = 5.614 Å, c = 5.614 Å
α = 151.41°, β = 129.19°, γ = 59.34°
Fractional coordinates of all 4 atoms:
Hg 0.750 0.250 0.500
Ir 0.019 0.019 0.000
Ir 0.481 0.481 0.000
Tc 0.250 0.750 0.500